Density functional theory data (PBE) for Cs3Np2Te4 after structural relaxation.

Summary:
Crystal system   monoclinic
E_form (uncorrected)   -0.721 eV/atom

abc: 20.517 4.796 9.883
angles: 90.00 115.95 90.00
Space group C2/m (No. 12)
Symmetry-distinct sites (fractional):
Cs 0.000 0.000 0.000 x2
Cs 0.113 0.000 0.520 x4
Np 0.198 0.500 0.986 x4
Te 0.048 0.500 0.753 x4
Te 0.214 0.000 0.203 x4


Density functional theory data (PBE) for PmThTi2O8 after structural relaxation.

Summary:
Crystal system   tetragonal
E_form (uncorrected)   -3.163 eV/atom

abc: 5.274 5.274 11.469
angles: 90.00 90.00 90.00
Space group I-4 (No. 82)
Symmetry-distinct sites (fractional):
Pm 0.000 0.000 0.000 x2
Th 0.000 0.500 0.750 x2
Ti 0.000 0.000 0.500 x2
Ti 0.000 0.500 0.250 x2
O 0.157 0.254 0.585 x8
O 0.159 0.756 0.167 x8


Density functional theory data (PBE) for Pm2SnRu after structural relaxation.

Summary:
Crystal system   trigonal
E_form   -37.2 kJ per mole of atoms

abc: 4.8371 4.8371 5.4448
angles: 90.00 90.00 120.00
Space group P-3m1 (No. 164)
Symmetry-distinct sites (fractional):
Pm 0.3333 0.6667 0.2099 x2
Sn 0.0000 0.0000 0.5000 x1
Ru 0.0000 0.0000 0.0000 x1


Density functional theory data (PBE) for MnWAu after structural relaxation.

Summary:
Energy above the most stable polymorph in this dataset   0.00 eV per formula unit
Crystal system   tetragonal
E_form   26.6 kJ per mole of atoms

abc: 2.762 2.762 12.372
angles: 90.00 90.00 90.00
Space group I4mm (No. 107)
Symmetry-distinct sites (fractional):
Mn 0.000 0.000 0.000 x2
W 0.000 0.000 0.344 x2
Au 0.000 0.000 0.667 x2


Across the entries above, total magnetic moment takes the values 9.00, 1.05, 0.00, 3.12 μB per formula unit, respectively.